Record 1
Entry from the Alexandria database: a relaxed YErAg4 crystal (GGA-PBE).

Values from the calculation:
The value obtained for the magnetization is 0.3 Bohr magnetons per cell. The raw total energy comes out at -22.37 eV for the cell shown. As for the energy above the most stable polymorph in this dataset: 332.4 meV/atom. For the density of states at the Fermi level, the calculation gives 0.778 states/eV/atom.

Geometry as extended XYZ:
```
6
Lattice="3.927 0.000 0.000 0.000 3.927 0.000 0.000 0.000 9.525" Properties=species:S:1:pos:R:3 pbc="T T T"
Y 0.000 0.000 0.000
Er 1.963 1.963 4.762
Ag 0.000 1.963 2.414
Ag 0.000 1.963 7.111
Ag 1.963 0.000 2.414
Ag 1.963 0.000 7.111
```

Record 2
Entry from the Alexandria database: a relaxed Y2Er3Ag3 crystal (GGA-PBE).

Values from the calculation:
The value obtained for the magnetization is 0.0 Bohr magnetons per cell. The raw total energy comes out at -36.94 eV for the cell shown. For the density of states at the Fermi level, the calculation gives 0.846 states/eV/atom.

Geometry as extended XYZ:
```
8
Lattice="-1.828 2.611 10.728 1.828 -2.611 10.728 1.828 2.611 -10.728" Properties=species:S:1:pos:R:3 pbc="T T T"
Y 0.000 0.000 4.951
Y 0.000 0.000 16.504
Er 0.000 0.000 0.000
Er 1.828 0.000 8.163
Er 0.000 2.611 2.565
Ag 1.828 0.000 2.476
Ag 0.000 0.000 10.728
Ag 0.000 2.611 8.252
```

Among the records above, which one has the highest density of states at the Fermi level?
Y2Er3Ag3